1.
VASP calculation (SCAN) on a crystal of PtRhS2N relaxed with PBEsol.

Cell: 3.520 4.703 4.703 Å, 90.00 90.00 90.00°
Fractional coordinates of all 5 atoms:
S1 0.000 0.000 0.500
Rh1 0.000 0.000 0.000
Pt1 0.500 0.500 0.500
N1 0.500 0.000 0.000
S2 0.000 0.500 0.000

## Properties
E_form (uncorrected) ... 867.1 meV per atom
E_tot ... -128.18 eV per cell
Space-group type ... P4/mmm, No. 123
Spin magnetization ... 0.000 μB/atom

***

2.
VASP calculation (SCAN) on a crystal of PtRhSeN2 relaxed with PBEsol.

Cell: 3.665 3.665 5.611 Å, 90.00 90.00 90.00°
Fractional coordinates of all 5 atoms:
Pt1 0.500 0.500 0.500
Rh1 0.000 0.000 0.000
N1 0.500 0.000 0.000
N2 0.000 0.500 0.000
Se1 0.000 0.000 0.500

## Properties
E_form (uncorrected) ... 1111.0 meV per atom
Distance to the lowest polymorph of the same formula ... 0 meV per atom
E_tot ... -137.07 eV per cell
Space-group type ... P4/mmm, No. 123
Spin magnetization ... 0.000 μB/atom

***

3.
VASP calculation (SCAN) on a crystal of PtRhSeN2 relaxed with PBEsol.

Cell: 3.625 3.625 7.061 Å, 90.00 90.00 90.00°
Fractional coordinates of all 5 atoms:
N1 0.500 0.000 0.000
Se1 0.000 0.000 0.500
Pt1 0.000 0.000 0.000
Rh1 0.500 0.500 0.500
N2 0.000 0.500 0.000

## Properties
E_form (uncorrected) ... 1232.0 meV per atom
Distance to the lowest polymorph of the same formula ... 121 meV per atom
E_tot ... -136.47 eV per cell
Space-group type ... P4/mmm, No. 123
Spin magnetization ... 0.000 μB/atom

***

4.
VASP calculation (SCAN) on a crystal of Pt3SN relaxed with PBEsol.

Cell: 4.146 4.146 4.146 Å, 90.00 90.00 90.00°
Fractional coordinates of all 5 atoms:
Pt1 0.500 0.000 0.000
Pt2 0.000 0.000 0.500
S1 0.500 0.500 0.500
N1 0.000 0.000 0.000
Pt3 0.000 0.500 0.000

## Properties
E_form (uncorrected) ... 960.1 meV per atom
E_tot ... -224.70 eV per cell
Space-group type ... Pm-3m, No. 221
Spin magnetization ... 0.000 μB/atom

***

5.
VASP calculation (SCAN) on a crystal of PtSN3 relaxed with PBEsol.

Cell: 3.856 3.856 3.856 Å, 90.00 90.00 90.00°
Site moments in Bohr magnetons follow the coordinates.
Fractional coordinates of all 5 atoms:
N1 0.000 0.000 0.500  0.62
N2 0.500 0.000 0.000  0.62
Pt1 0.000 0.000 0.000  0.25
S1 0.500 0.500 0.500  -0.23
N3 0.000 0.500 0.000  0.62

## Properties
E_form (uncorrected) ... 2142.6 meV per atom
E_tot ... -96.98 eV per cell
Space-group type ... Pm-3m, No. 221
Spin magnetization ... 0.486 μB/atom

***

6.
VASP calculation (SCAN) on a crystal of ScPtS2N relaxed with PBEsol.

Cell: 3.901 4.834 4.834 Å, 90.00 90.00 90.00°
Site moments in Bohr magnetons follow the coordinates.
Fractional coordinates of all 5 atoms:
S1 0.000 0.500 0.000  0.18
Pt1 0.500 0.500 0.500  0.26
N1 0.500 0.000 0.000  1.15
Sc1 0.000 0.000 0.000  -0.01
S2 0.000 0.000 0.500  0.18

## Properties
E_form (uncorrected) ... 529.5 meV per atom
E_tot ... -110.33 eV per cell
Space-group type ... P4/mmm, No. 123
Spin magnetization ... 0.470 μB/atom

***

7.
VASP calculation (SCAN) on a crystal of ScPtSN2 relaxed with PBEsol.

Cell: 3.947 3.947 5.050 Å, 90.00 90.00 90.00°
Site moments in Bohr magnetons follow the coordinates.
Fractional coordinates of all 5 atoms:
N1 0.000 0.500 0.000  1.19
S1 0.000 0.000 0.500  0.14
Sc1 0.000 0.000 0.000  0.03
Pt1 0.500 0.500 0.500  0.34
N2 0.500 0.000 0.000  1.19

## Properties
E_form (uncorrected) ... 940.8 meV per atom
E_tot ... -107.94 eV per cell
Space-group type ... P4/mmm, No. 123
Spin magnetization ... 0.758 μB/atom

***

8.
VASP calculation (SCAN) on a crystal of PtSeSN2 relaxed with PBEsol.

Cell: 3.656 3.656 7.493 Å, 90.00 90.00 90.00°
Fractional coordinates of all 5 atoms:
Pt1 0.000 0.000 0.000
N1 0.000 0.500 0.000
N2 0.500 0.000 0.000
S1 0.000 0.000 0.500
Se1 0.500 0.500 0.500

## Properties
E_form (uncorrected) ... 1161.8 meV per atom
E_tot ... -112.67 eV per cell
Space-group type ... P4/mmm, No. 123
Spin magnetization ... 0.000 μB/atom